# 1
Compound: Li2BeB
Source: Alexandria
Functional: PBE
Structure: optimized geometry

Calculated values
Calculated formation energy in eV/atom: 0.389
D(E_F) in states/eV per cell: 8.011

```
Li2BeB
1.0
8.977 0.000 0.000
0.000 8.977 0.000
0.000 0.000 3.533
Li Be B
8 4 4
Direct
0.003 0.250 0.125
0.250 0.503 0.375
0.250 0.997 0.875
0.497 0.250 0.625
0.503 0.750 0.625
0.750 0.003 0.875
0.750 0.497 0.375
0.997 0.750 0.125
0.000 0.000 0.500
0.000 0.500 0.750
0.500 0.000 0.250
0.500 0.500 0.000
0.000 0.000 0.000
0.000 0.500 0.250
0.500 0.000 0.750
0.500 0.500 0.500
```

=====

# 2
Compound: CsHf3Rh
Source: Alexandria
Functional: PBE
Structure: optimized geometry

Calculated values
Calculated formation energy in eV/atom: 0.606
D(E_F) in states/eV per cell: 8.850

```
CsHf3Rh
1.0
5.181 0.000 0.000
0.000 5.181 0.000
0.000 0.000 5.181
Cs Hf Rh
1 3 1
Direct
0.000 0.000 0.000
0.000 0.500 0.500
0.500 0.000 0.500
0.500 0.500 0.000
0.500 0.500 0.500
```

=====

# 3
Compound: Fe2TeW
Source: Alexandria
Functional: PBE
Structure: optimized geometry

Calculated values
Energy relative to the elements, uncorrected in eV/atom: 0.5307
D(E_F) in states/eV per cell: 3.773

```
Fe2TeW
1.0
4.237 0.000 0.000
0.000 4.237 0.000
0.000 0.000 3.291
Fe Te W
2 1 1
Direct
0.000 0.500 0.000
0.500 0.000 0.000
0.000 0.000 0.500
0.500 0.500 0.500
```

=====

# 4
Compound: Rb2SrSn2Se4
Source: Alexandria
Functional: PBE
Structure: optimized geometry

Calculated values
Energy relative to the elements, uncorrected in eV/atom: -1.0722

```
Rb2SrSn2Se4
1.0
9.159 -2.147 0.000
9.159 2.147 0.000
-4.113 0.000 7.894
Rb Sr Sn Se
2 1 2 4
Direct
0.118 0.118 0.047
0.882 0.882 0.953
0.000 0.000 0.500
0.306 0.306 0.452
0.694 0.694 0.548
0.187 0.187 0.746
0.458 0.458 0.710
0.542 0.542 0.290
0.813 0.813 0.254
```

=====

# 5
Compound: SmAl7Ni5
Source: Alexandria
Functional: PBE
Structure: optimized geometry

Calculated values
Calculated formation energy in eV/atom: -0.578
D(E_F) in states/eV per cell: 6.566

```
SmAl7Ni5
1.0
-2.502 4.351 4.266
2.502 -4.351 4.266
2.502 4.351 -4.266
Sm Al Ni
1 7 5
Direct
0.000 0.000 0.000
0.204 0.494 0.710
0.232 0.732 0.500
0.351 0.351 0.000
0.367 0.021 0.346
0.662 0.662 0.000
0.675 0.021 0.654
0.785 0.494 0.290
0.013 0.002 0.507
0.013 0.506 0.011
0.495 0.002 0.989
0.495 0.506 0.493
0.773 0.273 0.500
```

=====

# 6
Compound: Sm8Ag2Pt
Source: Alexandria
Functional: PBE
Structure: optimized geometry

Calculated values
Calculated formation energy in eV/atom: -0.230
D(E_F) in states/eV per cell: 11.783

```
Sm8Ag2Pt
1.0
3.796 -8.298 0.000
3.796 8.298 0.000
-3.306 0.000 5.281
Sm Ag Pt
8 2 1
Direct
0.000 0.000 0.000
0.124 0.891 0.473
0.334 0.570 0.113
0.453 0.453 0.640
0.526 0.915 0.778
0.570 0.334 0.113
0.891 0.124 0.473
0.915 0.526 0.778
0.446 0.997 0.277
0.997 0.446 0.277
0.726 0.726 0.469
```